# 1
# NiMo2Pb (PBE, optimized geometry)
data_NiMo2Pb
_space_group_name_H-M_alt 'R -3 m'
_space_group_IT_number 166
_space_group_name_Hall '-R 3 2"'
_cell_length_a 2.9508
_cell_length_b 2.9508
_cell_length_c 27.3434
_cell_angle_alpha 90.00
_cell_angle_beta 90.00
_cell_angle_gamma 120.00
loop_
_atom_site_label
_atom_site_type_symbol
_atom_site_fract_x
_atom_site_fract_y
_atom_site_fract_z
_atom_site_occupancy
Ni1 Ni 0.0000 0.0000 0.0000 1
Mo1 Mo 0.0000 0.0000 0.2600 1
Pb1 Pb 0.0000 0.0000 0.5000 1
# Total magnetic moment   0.00 μB per atom
# E_form   0.735 eV per atom

=====

# 2
# NiMoPb2 (PBE, optimized geometry)
data_NiMoPb2
_space_group_name_H-M_alt 'R -3 m'
_space_group_IT_number 166
_space_group_name_Hall '-R 3 2"'
_cell_length_a 3.2623
_cell_length_b 3.2623
_cell_length_c 25.8378
_cell_angle_alpha 90.00
_cell_angle_beta 90.00
_cell_angle_gamma 120.00
loop_
_atom_site_label
_atom_site_type_symbol
_atom_site_fract_x
_atom_site_fract_y
_atom_site_fract_z
_atom_site_occupancy
Ni1 Ni 0.0000 0.0000 0.0000 1
Mo1 Mo 0.0000 0.0000 0.5000 1
Pb1 Pb 0.0000 0.0000 0.2550 1
# Total magnetic moment   0.22 μB per atom
# E_form   0.655 eV per atom
# Excess energy over the best structure of this formula in the dataset   324.9 meV per atom

=====

# 3
# NiMoPb2 (PBE, optimized geometry)
data_NiMoPb2
_space_group_name_H-M_alt 'I -4 2 d'
_space_group_IT_number 122
_space_group_name_Hall 'I -4 2bw'
_cell_length_a 7.3585
_cell_length_b 7.3585
_cell_length_c 6.1754
_cell_angle_alpha 90.00
_cell_angle_beta 90.00
_cell_angle_gamma 90.00
loop_
_atom_site_label
_atom_site_type_symbol
_atom_site_fract_x
_atom_site_fract_y
_atom_site_fract_z
_atom_site_occupancy
Ni1 Ni 0.0000 0.0000 0.0000 1
Mo1 Mo 0.0000 0.0000 0.5000 1
Pb1 Pb 0.2173 0.2500 0.1250 1
# Total magnetic moment   0.00 μB per atom
# E_form   0.871 eV per atom
# Excess energy over the best structure of this formula in the dataset   540.9 meV per atom

=====

# 4
# NiMoPb (PBE, optimized geometry)
data_NiMoPb
_space_group_name_H-M_alt 'P 3 m 1'
_space_group_IT_number 156
_cell_length_a 3.0393
_cell_length_b 3.0393
_cell_length_c 6.7318
_cell_angle_alpha 90.00
_cell_angle_beta 90.00
_cell_angle_gamma 120.00
loop_
_space_group_symop_operation_xyz
'x,y,z'
'-y,x-y,z'
'-x+y,-x,z'
'-y,-x,z'
'-x+y,y,z'
'x,x-y,z'
loop_
_atom_site_label
_atom_site_type_symbol
_atom_site_fract_x
_atom_site_fract_y
_atom_site_fract_z
_atom_site_occupancy
Ni1 Ni 0.0000 0.0000 0.0000 1
Mo1 Mo 0.3333 0.6667 0.7248 1
Pb1 Pb 0.6667 0.3333 0.3495 1
# Total magnetic moment   0.00 μB per atom
# E_form   0.605 eV per atom
# Excess energy over the best structure of this formula in the dataset   105.2 meV per atom

=====

# 5
# NiMo3Pb (PBE, optimized geometry)
data_NiMo3Pb
_space_group_name_H-M_alt 'P m -3 m'
_space_group_IT_number 221
_space_group_name_Hall '-P 4 2 3'
_cell_length_a 4.9770
_cell_length_b 4.9770
_cell_length_c 4.9770
_cell_angle_alpha 90.00
_cell_angle_beta 90.00
_cell_angle_gamma 90.00
loop_
_atom_site_label
_atom_site_type_symbol
_atom_site_fract_x
_atom_site_fract_y
_atom_site_fract_z
_atom_site_occupancy
Ni1 Ni 0.0000 0.0000 0.0000 1
Mo1 Mo 0.0000 0.5000 0.5000 1
Pb1 Pb 0.5000 0.5000 0.5000 1
# Total magnetic moment   0.13 μB per atom
# E_form   2.931 eV per atom
# Excess energy over the best structure of this formula in the dataset   1708.2 meV per atom

=====

# 6
# NiMo2Pb (PBE, optimized geometry)
data_NiMo2Pb
_space_group_name_H-M_alt 'F -4 3 m'
_space_group_IT_number 216
_space_group_name_Hall 'F -4 2 3'
_cell_length_a 6.4365
_cell_length_b 6.4365
_cell_length_c 6.4365
_cell_angle_alpha 90.00
_cell_angle_beta 90.00
_cell_angle_gamma 90.00
loop_
_atom_site_label
_atom_site_type_symbol
_atom_site_fract_x
_atom_site_fract_y
_atom_site_fract_z
_atom_site_occupancy
Ni1 Ni 0.0000 0.0000 0.0000 1
Mo1 Mo 0.0000 0.0000 0.5000 1
Mo2 Mo 0.2500 0.2500 0.2500 1
Pb1 Pb 0.2500 0.2500 0.7500 1
# Total magnetic moment   0.23 μB per atom
# E_form   0.580 eV per atom

=====

# 7
# NiMoPb2 (PBE, optimized geometry)
data_NiMoPb2
_space_group_name_H-M_alt 'F m -3 m'
_space_group_IT_number 225
_space_group_name_Hall '-F 4 2 3'
_cell_length_a 6.7846
_cell_length_b 6.7846
_cell_length_c 6.7846
_cell_angle_alpha 90.00
_cell_angle_beta 90.00
_cell_angle_gamma 90.00
loop_
_atom_site_label
_atom_site_type_symbol
_atom_site_fract_x
_atom_site_fract_y
_atom_site_fract_z
_atom_site_occupancy
Ni1 Ni 0.0000 0.0000 0.0000 1
Mo1 Mo 0.0000 0.0000 0.5000 1
Pb1 Pb 0.2500 0.2500 0.2500 1
# Total magnetic moment   0.00 μB per atom
# E_form   0.723 eV per atom
# Excess energy over the best structure of this formula in the dataset   393.3 meV per atom

=====

# 8
# NiMoPb2 (PBE, optimized geometry)
data_NiMoPb2
_space_group_name_H-M_alt 'F -4 3 m'
_space_group_IT_number 216
_space_group_name_Hall 'F -4 2 3'
_cell_length_a 6.9771
_cell_length_b 6.9771
_cell_length_c 6.9771
_cell_angle_alpha 90.00
_cell_angle_beta 90.00
_cell_angle_gamma 90.00
loop_
_atom_site_label
_atom_site_type_symbol
_atom_site_fract_x
_atom_site_fract_y
_atom_site_fract_z
_atom_site_occupancy
Ni1 Ni 0.0000 0.0000 0.0000 1
Mo1 Mo 0.2500 0.2500 0.7500 1
Pb1 Pb 0.0000 0.0000 0.5000 1
Pb2 Pb 0.2500 0.2500 0.2500 1
# Total magnetic moment   0.68 μB per atom
# E_form   0.927 eV per atom
# Excess energy over the best structure of this formula in the dataset   597.2 meV per atom